Below is ZrTlZn2 after structural relaxation, with properties calculated at the GGA-PBE level.

Properties
Space-group type ... I4/mmm (139)
ΔE to the lowest computed polymorph ... 0.198 eV per atom
Calculated formation energy ... 0.05 eV per atom
D(E_F) ... 2.46 states/eV/cell
E_tot ... -3.314 eV/atom

Unit cell a=5.3264 b=5.3264 c=5.3252 alpha=132.94 beta=132.94 gamma=68.77
Closest atoms and distances in Å follow each position.
Fractional positions:
Tl (0.2500, 0.7500, 0.5000)  4 Zr 3.01, 8 Zn 3.06
Zn (0.0001, 0.0001, 0.0000)  4 Zn 3.01, 4 Zr 3.06, 4 Tl 3.06
Zn (0.4999, 0.4999, 0.0000)  4 Zn 3.01, 4 Zr 3.06, 4 Tl 3.06
Zr (0.7500, 0.2500, 0.5000)  4 Tl 3.01, 8 Zn 3.06